one:
A relaxed structure of Ca3ReN3. Source: Alexandria via LeMat-Bulk, functional PBE.

a = 7.4563 Å, b = 7.4563 Å, c = 5.0538 Å
α = 90.00°, β = 90.00°, γ = 119.99°
Closest atoms and distances in Å follow each position.
Fractional positions:
Ca  0.8949  0.6447  0.2500  4 N 2.48-2.54
Ca  0.7498  0.1050  0.2500  4 N 2.48-2.54
Ca  0.3552  0.2501  0.2500  4 N 2.48-2.54
Ca  0.1051  0.3553  0.7500  4 N 2.48-2.54
Ca  0.2502  0.8950  0.7500  4 N 2.48-2.54
Ca  0.6448  0.7499  0.7500  4 N 2.48-2.54
Re  0.6667  0.3334  0.7500  3 N 1.87
Re  0.3333  0.6666  0.2500  3 N 1.87
N  0.8866  0.6075  0.7500  1 Re 1.87
N  0.7211  0.1135  0.7500  1 Re 1.87
N  0.3926  0.2791  0.7500  1 Re 1.87
N  0.1134  0.3925  0.2500  1 Re 1.87
N  0.2789  0.8865  0.2500  1 Re 1.87
N  0.6074  0.7209  0.2500  1 Re 1.87

**Calculated volume**: 17.4 A^3/atom
**D(E_F)**: 7.56 states/eV/cell
**Symmetry**: P6_3/m, No. 176


two:
A relaxed structure of Ca3ReN3. Source: Alexandria via LeMat-Bulk, functional PBE.

a = 5.1033 Å, b = 6.7055 Å, c = 6.7056 Å
α = 100.43°, β = 90.00°, γ = 90.00°
Closest atoms and distances in Å follow each position.
Fractional positions:
Ca  0.7500  0.5965  0.8294  5 N 2.47-2.75
Ca  0.7500  0.1062  0.8938  5 N 2.40-2.56
Ca  0.7500  0.1708  0.4034  5 N 2.47-2.75
Ca  0.2500  0.4035  0.1706  5 N 2.47-2.75
Ca  0.2500  0.8938  0.1062  5 N 2.40-2.56
Ca  0.2500  0.8292  0.5966  5 N 2.47-2.75
Re  0.2500  0.3123  0.6876  3 N 1.88-1.92
Re  0.7500  0.6877  0.3124  3 N 1.88-1.92
N  0.2500  0.5804  0.8320  1 Re 1.88
N  0.2500  0.1263  0.8736  1 Re 1.92
N  0.2500  0.1682  0.4194  1 Re 1.88
N  0.7500  0.4196  0.1680  1 Re 1.88
N  0.7500  0.8737  0.1264  1 Re 1.92
N  0.7500  0.8318  0.5806  1 Re 1.88

**Calculated volume**: 16.1 A^3/atom
**D(E_F)**: 5.69 states/eV/cell
**Symmetry**: Cmcm, No. 63


Verdict on stability: one comes out at the bottom.


one:
A relaxed structure of Ca4ReN4. Source: Alexandria via LeMat-Bulk, functional PBE.

a = 6.3262 Å, b = 6.6758 Å, c = 6.6758 Å
α = 90.00°, β = 90.00°, γ = 90.00°
Closest atoms and distances in Å follow each position.
Fractional positions:
Ca  0.3684  0.2780  0.0000  5 N 2.50-2.64
Ca  0.8684  0.5000  0.7780  5 N 2.50-2.64
Ca  0.3684  0.7220  0.0000  5 N 2.50-2.64
Ca  0.1316  0.2220  0.5000  5 N 2.50-2.64
Ca  0.6316  0.0000  0.7220  5 N 2.50-2.64
Ca  0.1316  0.7780  0.5000  5 N 2.50-2.64
Ca  0.8684  0.5000  0.2220  5 N 2.50-2.64
Ca  0.6316  0.0000  0.2780  5 N 2.50-2.64
Re  0.0000  0.0000  0.0000  4 N 1.97
Re  0.5000  0.5000  0.5000  4 N 1.97
N  0.7203  0.7094  0.5000  1 Re 1.97
N  0.7203  0.2906  0.5000  1 Re 1.97
N  0.2203  0.0000  0.7906  1 Re 1.97
N  0.7797  0.2094  0.0000  1 Re 1.97
N  0.7797  0.7906  0.0000  1 Re 1.97
N  0.2797  0.5000  0.2906  1 Re 1.97
N  0.2797  0.5000  0.7094  1 Re 1.97
N  0.2203  0.0000  0.2094  1 Re 1.97

**Calculated volume**: 15.7 A^3/atom
**D(E_F)**: 12.53 states/eV/cell
**Symmetry**: P4_2/nmc, No. 137


two:
A relaxed structure of Ca4ReN4. Source: Alexandria via LeMat-Bulk, functional PBE.

a = 6.0980 Å, b = 6.0366 Å, c = 8.9511 Å
α = 65.78°, β = 77.21°, γ = 69.41°
Closest atoms and distances in Å follow each position.
Fractional positions:
Ca  0.7581  0.6265  0.1563  4 N 2.40-2.61
Ca  0.2419  0.3735  0.8437  4 N 2.40-2.61
Ca  0.7313  0.2425  0.9892  4 N 2.42-2.49
Ca  0.2687  0.7575  0.0108  4 N 2.42-2.49
Ca  0.7360  0.4591  0.5807  5 N 2.37-2.61
Ca  0.2640  0.5409  0.4193  5 N 2.37-2.61
Ca  0.2187  0.9534  0.6199  5 N 2.36-2.61
Ca  0.7813  0.0466  0.3801  5 N 2.36-2.61
Re  0.7174  0.8446  0.7559  4 N 1.91-2.09
Re  0.2826  0.1554  0.2441  4 N 1.91-2.09
N  0.9688  0.6726  0.6305  1 Re 1.94
N  0.0312  0.3274  0.3695  1 Re 1.94
N  0.9053  0.9119  0.8693  1 Re 1.92
N  0.0947  0.0881  0.1307  1 Re 1.92
N  0.5072  0.6185  0.7862  1 Re 2.09
N  0.4928  0.3815  0.2138  1 Re 2.09
N  0.5165  0.8442  0.3401  1 Re 1.91
N  0.4835  0.1558  0.6599  1 Re 1.91

**Calculated volume**: 15.6 A^3/atom
**D(E_F)**: 8.09 states/eV/cell
**Symmetry**: P-1, No. 2


Verdict on stability: one comes out at the bottom.


one:
A relaxed structure of CaReSN2. Source: Alexandria via LeMat-Bulk, functional PBE.

a = 3.8883 Å, b = 3.8883 Å, c = 5.1770 Å
α = 90.00°, β = 90.00°, γ = 90.00°
Closest atoms and distances in Å follow each position.
Fractional positions:
Re  0.0000  0.0000  0.0000  4 N 1.94
Ca  0.5000  0.5000  0.5000  4 S 2.75
S  0.0000  0.0000  0.5000  2 Re 2.59, 4 Ca 2.75
N  0.0000  0.5000  0.0000  2 Re 1.94
N  0.5000  0.0000  0.0000  2 Re 1.94

**Calculated volume**: 15.7 A^3/atom
**D(E_F)**: 2.49 states/eV/cell
**Symmetry**: P4/mmm, No. 123


two:
A relaxed structure of CaReSN2. Source: Alexandria via LeMat-Bulk, functional PBE.

a = 4.3415 Å, b = 4.3415 Å, c = 5.2762 Å
α = 90.00°, β = 90.00°, γ = 90.00°
Closest atoms and distances in Å follow each position.
Fractional positions:
Re  0.5000  0.5000  0.5000  4 S 3.07, 8 N 3.42
Ca  0.0000  0.0000  0.0000  4 N 2.17
S  0.0000  0.0000  0.5000  2 Ca 2.64
N  0.0000  0.5000  0.0000  2 Ca 2.17
N  0.5000  0.0000  0.0000  2 Ca 2.17

**Calculated volume**: 19.9 A^3/atom
**D(E_F)**: 1.30 states/eV/cell
**Symmetry**: P4/mmm, No. 123


Verdict on stability: two comes out at the bottom.


one:
A relaxed structure of CaRh3N. Source: Alexandria via LeMat-Bulk, functional PBE.

a = 4.1815 Å, b = 4.1815 Å, c = 4.1815 Å
α = 90.00°, β = 90.00°, γ = 90.00°
Closest atoms and distances in Å follow each position.
Fractional positions:
Ca  0.5000  0.5000  0.5000  12 Rh 2.96
Rh  0.0000  0.5000  0.0000  2 N 2.09
Rh  0.0000  0.0000  0.5000  2 N 2.09
Rh  0.5000  0.0000  0.0000  2 N 2.09
N  0.0000  0.0000  0.0000  6 Rh 2.09

**Calculated volume**: 14.6 A^3/atom
**D(E_F)**: 3.83 states/eV/cell
**Symmetry**: Pm-3m, No. 221


two:
A relaxed structure of CaRh3N. Source: Alexandria via LeMat-Bulk, functional PBE.

a = 4.8550 Å, b = 4.8550 Å, c = 4.8550 Å
α = 90.00°, β = 90.00°, γ = 90.00°
Closest atoms and distances in Å follow each position.
Fractional positions:
Ca  0.0000  0.0000  0.0000  6 Rh 2.43
Rh  0.0000  0.5000  0.0000  2 Ca 2.43
Rh  0.0000  0.0000  0.5000  2 Ca 2.43
Rh  0.5000  0.0000  0.0000  2 Ca 2.43
N  0.5000  0.5000  0.5000  12 Rh 3.43

**Calculated volume**: 22.9 A^3/atom
**D(E_F)**: 6.51 states/eV/cell
**Symmetry**: Pm-3m, No. 221


Verdict on stability: two comes out at the bottom.


one:
A relaxed structure of CaRhS2N. Source: Alexandria via LeMat-Bulk, functional PBE.

a = 5.2173 Å, b = 5.2173 Å, c = 4.4111 Å
α = 90.00°, β = 90.00°, γ = 90.00°
Closest atoms and distances in Å follow each position.
Fractional positions:
Ca  0.0000  0.0000  0.0000  2 N 2.21
Rh  0.5000  0.5000  0.5000  8 S 3.42, 4 N 3.69
S  0.0000  0.5000  0.0000  2 Ca 2.61
S  0.5000  0.0000  0.0000  2 Ca 2.61
N  0.0000  0.0000  0.5000  2 Ca 2.21

**Calculated volume**: 24.0 A^3/atom
**D(E_F)**: 6.54 states/eV/cell
**Symmetry**: P4/mmm, No. 123


two:
A relaxed structure of CaRhS2N. Source: Alexandria via LeMat-Bulk, functional PBE.

a = 4.9696 Å, b = 4.9696 Å, c = 3.6757 Å
α = 90.00°, β = 90.00°, γ = 90.00°
Closest atoms and distances in Å follow each position.
Fractional positions:
Ca  0.5000  0.5000  0.5000  8 S 3.09
Rh  0.0000  0.0000  0.0000  2 N 1.84
S  0.0000  0.5000  0.0000  2 Rh 2.48
S  0.5000  0.0000  0.0000  2 Rh 2.48
N  0.0000  0.0000  0.5000  2 Rh 1.84

**Calculated volume**: 18.2 A^3/atom
**D(E_F)**: 1.47 states/eV/cell
**Symmetry**: P4/mmm, No. 123


Verdict on stability: one comes out at the bottom.


one:
A relaxed structure of CaTe2RhN. Source: Alexandria via LeMat-Bulk, functional PBE.

a = 5.6251 Å, b = 5.6251 Å, c = 3.7165 Å
α = 90.00°, β = 90.00°, γ = 90.00°
Closest atoms and distances in Å follow each position.
Fractional positions:
Ca  0.5000  0.5000  0.5000  8 Te 3.37, 2 Ca 3.72
Te  0.0000  0.5000  0.0000  2 Rh 2.81
Te  0.5000  0.0000  0.0000  2 Rh 2.81
Rh  0.0000  0.0000  0.0000  2 N 1.86
N  0.0000  0.0000  0.5000  2 Rh 1.86

**Calculated volume**: 23.5 A^3/atom
**D(E_F)**: 4.02 states/eV/cell
**Symmetry**: P4/mmm, No. 123


two:
A relaxed structure of CaTe2RhN. Source: Alexandria via LeMat-Bulk, functional PBE.

a = 5.7605 Å, b = 5.7605 Å, c = 3.9315 Å
α = 90.00°, β = 90.00°, γ = 90.00°
Closest atoms and distances in Å follow each position.
Fractional positions:
Ca  0.0000  0.0000  0.0000  2 N 1.97
Te  0.0000  0.5000  0.0000  2 Ca 2.88
Te  0.5000  0.0000  0.0000  2 Ca 2.88
Rh  0.5000  0.5000  0.5000  8 Te 3.49
N  0.0000  0.0000  0.5000  2 Ca 1.97

**Calculated volume**: 26.1 A^3/atom
**D(E_F)**: 7.61 states/eV/cell
**Symmetry**: P4/mmm, No. 123


Verdict on stability: two comes out at the bottom.


one:
A relaxed structure of CaTeRhN2. Source: Alexandria via LeMat-Bulk, functional PBE.

a = 4.3542 Å, b = 4.3542 Å, c = 6.4367 Å
α = 90.00°, β = 90.00°, γ = 90.00°
Closest atoms and distances in Å follow each position.
Fractional positions:
Ca  0.0000  0.0000  0.0000  4 N 2.18
Te  0.0000  0.0000  0.5000  4 Rh 3.08, 2 Ca 3.22
Rh  0.5000  0.5000  0.5000  4 Te 3.08
N  0.0000  0.5000  0.0000  2 Ca 2.18
N  0.5000  0.0000  0.0000  2 Ca 2.18

**Calculated volume**: 24.4 A^3/atom
**D(E_F)**: 7.30 states/eV/cell
**Symmetry**: P4/mmm, No. 123


two:
A relaxed structure of CaTeRhN2. Source: Alexandria via LeMat-Bulk, functional PBE.

a = 3.9513 Å, b = 6.4819 Å, c = 3.9513 Å
α = 90.00°, β = 90.00°, γ = 90.00°
Closest atoms and distances in Å follow each position.
Fractional positions:
Ca  0.0000  0.5000  0.0000  4 Te 2.79
Te  0.5000  0.5000  0.5000  4 Ca 2.79
Rh  0.0000  0.0000  0.0000  4 N 1.98
N  0.0000  0.0000  0.5000  2 Rh 1.98
N  0.5000  0.0000  0.0000  2 Rh 1.98

**Calculated volume**: 20.2 A^3/atom
**D(E_F)**: 2.49 states/eV/cell
**Symmetry**: P4/mmm, No. 123


Verdict on stability: one comes out at the bottom.


one:
A relaxed structure of Ca3RuN3. Source: Alexandria via LeMat-Bulk, functional PBE.

a = 4.9997 Å, b = 6.7425 Å, c = 6.7432 Å
α = 101.30°, β = 90.00°, γ = 90.00°
Closest atoms and distances in Å follow each position.
Fractional positions:
Ca  0.7500  0.5989  0.8312  4 N 2.44-2.50
Ca  0.7500  0.1062  0.8936  5 N 2.38-2.55
Ca  0.7500  0.1694  0.4009  4 N 2.44-2.50
Ca  0.2500  0.4011  0.1688  4 N 2.44-2.50
Ca  0.2500  0.8938  0.1064  5 N 2.38-2.55
Ca  0.2500  0.8306  0.5991  4 N 2.44-2.50
Ru  0.2500  0.3070  0.6929  3 N 1.88-1.93
Ru  0.7500  0.6930  0.3071  3 N 1.88-1.93
N  0.2500  0.5809  0.8237  1 Ru 1.88
N  0.2500  0.1218  0.8779  1 Ru 1.93
N  0.2500  0.1767  0.4189  1 Ru 1.88
N  0.7500  0.4191  0.1763  1 Ru 1.88
N  0.7500  0.8782  0.1221  1 Ru 1.93
N  0.7500  0.8233  0.5811  1 Ru 1.88

**Calculated volume**: 15.9 A^3/atom
**D(E_F)**: 6.49 states/eV/cell
**Symmetry**: Cmcm, No. 63


two:
A relaxed structure of Ca3RuN3. Source: Alexandria via LeMat-Bulk, functional PBE.

a = 4.9731 Å, b = 7.3713 Å, c = 7.3713 Å
α = 120.00°, β = 90.00°, γ = 90.00°
Closest atoms and distances in Å follow each position.
Fractional positions:
Ca  0.7500  0.7399  0.6380  4 N 2.44-2.49
Ca  0.7500  0.3620  0.1020  4 N 2.44-2.49
Ca  0.7500  0.8980  0.2601  4 N 2.44-2.49
Ca  0.2500  0.2601  0.3620  4 N 2.44-2.49
Ca  0.2500  0.6380  0.8980  4 N 2.44-2.49
Ca  0.2500  0.1020  0.7399  4 N 2.44-2.49
Ru  0.2500  0.6667  0.3333  3 N 1.89
Ru  0.7500  0.3333  0.6667  3 N 1.89
N  0.2500  0.7272  0.6152  1 Ru 1.89
N  0.2500  0.3848  0.1120  1 Ru 1.89
N  0.2500  0.8880  0.2728  1 Ru 1.89
N  0.7500  0.2728  0.3848  1 Ru 1.89
N  0.7500  0.6152  0.8880  1 Ru 1.89
N  0.7500  0.1120  0.7272  1 Ru 1.89

**Calculated volume**: 16.7 A^3/atom
**D(E_F)**: 9.25 states/eV/cell
**Symmetry**: P6_3/m, No. 176


Verdict on stability: two comes out at the bottom.